Entry from the Alexandria database: a relaxed NaNiAs3 crystal (GGA-PBE).

abc: 4.7372 4.7372 4.7372
angles: 90.00 90.00 90.00
Last column: nearest neighbours and their distance in Å.
Element x y z (fractional)
Na (0.0000, 0.0000, 0.0000)  12 As 3.35
Ni (0.5000, 0.5000, 0.5000)  6 As 2.37
As (0.0000, 0.5000, 0.5000)  2 Ni 2.37
As (0.5000, 0.0000, 0.5000)  2 Ni 2.37
As (0.5000, 0.5000, 0.0000)  2 Ni 2.37

- DFT formation energy (eV per atom) = 0.16
- ΔE to the lowest computed polymorph (eV per atom) = 0.342
- E_tot (eV/cell) = -20.2
- calculated density (g/cm³) = 4.79
- symmetry = No. 221